# Re5Br (PBE, optimized geometry)
# DOS at the Fermi energy: 5.26 states/eV/f.u.
# Formation energy (no corrections): 7.33 eV per formula unit
data_Re5Br
_cell_length_a 5.2103
_cell_length_b 5.2103
_cell_length_c 5.2103
_cell_angle_alpha 60.00
_cell_angle_beta 60.00
_cell_angle_gamma 60.00
_space_group_name_H-M_alt 'P 1'
_space_group_IT_number 1
loop_
_space_group_symop_operation_xyz
'x,y,z'
loop_
_atom_site_label
_atom_site_fract_x
_atom_site_fract_y
_atom_site_fract_z
Re1 0.0000 0.0000 0.0000
Re2 0.1255 0.6248 0.6248
Re3 0.6248 0.1255 0.6248
Re4 0.6248 0.6248 0.1255
Re5 0.6248 0.6248 0.6248
Br1 0.2500 0.2500 0.2500